Record 1
# NaZrUS4

A relaxed NaZrUS4 crystal (PBE-GGA, the Alexandria database). Values from VASP.

Summary:
Fermi-level density of states: 0.6655 states/eV/atom
E_form (uncorrected): -1.4356 eV/atom
calculated density: 4.514 Mg/m³

Structure (Quantum ESPRESSO input):
```
&SYSTEM
  ibrav = 0, nat = 14, ntyp = 4
/
ATOMIC_SPECIES
S 32.06 S.upf
Na 22.99 Na.upf
Zr 91.22 Zr.upf
U 238.03 U.upf
CELL_PARAMETERS angstrom
7.6700 0.0000 0.0000
-3.8350 6.9051 -0.6510
0.0000 -4.3060 7.0814
ATOMIC_POSITIONS angstrom
S 0.0000 2.2844 1.7266
S 5.6069 -0.9267 1.8614
S 1.7719 3.5258 4.5689
S 2.0631 -0.9267 1.8614
S 3.8350 2.1681 1.6558
S 0.0000 0.4310 4.7745
S 3.8350 0.3147 4.7038
S -1.7719 3.5258 4.5689
Na 3.8350 4.5109 0.3180
Na 0.0000 -1.9117 6.1123
Zr -1.9175 1.2996 3.2152
Zr 1.9175 1.2996 3.2152
U 3.8350 -2.1530 3.5407
U 3.8350 0.0000 0.0000
```



Record 2
# Na2ZrUS4

A relaxed Na2ZrUS4 crystal (PBE-GGA, the Alexandria database). Values from VASP.

Summary:
Fermi-level density of states: 0.7072 states/eV/atom
E_form (uncorrected): -1.4131 eV/atom
calculated density: 4.889 Mg/m³

Structure (Quantum ESPRESSO input):
```
&SYSTEM
  ibrav = 0, nat = 8, ntyp = 4
/
ATOMIC_SPECIES
Zr 91.22 Zr.upf
U 238.03 U.upf
Na 22.99 Na.upf
S 32.06 S.upf
CELL_PARAMETERS angstrom
-2.7655 -2.1423 1.4918
-1.7707 -1.9146 -6.0321
4.9069 -4.6563 2.4099
ATOMIC_POSITIONS angstrom
Zr -2.2681 -2.0285 -2.2701
U 0.0000 0.0000 0.0000
Na 1.0707 -3.3993 1.9508
Na 1.5681 -3.2854 -1.8111
S 3.3274 -4.1166 0.2568
S -0.1912 -2.4543 -3.8789
S -0.6948 -2.6365 -0.2266
S 1.0654 -6.0767 -1.9038
```



Record 3
# Na3ZrU2S6

A relaxed Na3ZrU2S6 crystal (PBE-GGA, the Alexandria database). Values from VASP.

Summary:
Fermi-level density of states: 0.7150 states/eV/atom
E_form (uncorrected): -1.3908 eV/atom
calculated density: 5.216 Mg/m³

Structure (Quantum ESPRESSO input):
```
&SYSTEM
  ibrav = 0, nat = 12, ntyp = 4
/
ATOMIC_SPECIES
U 238.03 U.upf
Na 22.99 Na.upf
S 32.06 S.upf
Zr 91.22 Zr.upf
CELL_PARAMETERS angstrom
6.6814 -0.0012 -0.0002
-3.3401 5.7866 -0.0002
-1.1144 -1.9296 6.8235
ATOMIC_POSITIONS angstrom
U 3.3432 1.9267 -0.0002
U -0.0019 3.8587 -0.0002
Na -2.2220 3.8543 3.4115
Na 4.4489 0.0016 3.4115
Na 1.1134 1.9279 3.4115
S 2.2622 3.9170 1.5624
S 2.1563 0.0002 1.5701
S -0.0353 -0.0611 5.2607
S 0.0706 3.8556 5.2529
S 3.3043 1.9880 5.2529
S -1.0774 1.8678 1.5701
Zr 0.0000 0.0000 0.0000
```



Record 4
# Na3Zr2US6

A relaxed Na3Zr2US6 crystal (PBE-GGA, the Alexandria database). Values from VASP.

Summary:
Fermi-level density of states: 0.7181 states/eV/atom
E_form (uncorrected): -1.4350 eV/atom
calculated density: 4.499 Mg/m³

Structure (Quantum ESPRESSO input):
```
&SYSTEM
  ibrav = 0, nat = 12, ntyp = 4
/
ATOMIC_SPECIES
S 32.06 S.upf
Zr 91.22 Zr.upf
Na 22.99 Na.upf
U 238.03 U.upf
CELL_PARAMETERS angstrom
6.5170 -0.0001 0.0003
-3.2570 5.6448 0.0003
-1.0869 -1.8819 6.8409
ATOMIC_POSITIONS angstrom
S -1.1160 1.9333 1.5554
S -0.0592 3.7632 5.2862
S 0.0297 0.0515 5.2843
S 2.1434 3.7113 1.5573
S 2.2323 -0.0005 1.5554
S 3.2892 1.8294 5.2862
Zr 3.2581 1.8820 0.0003
Zr 0.0019 3.7626 0.0003
Na 4.3587 -0.0084 3.4208
Na 1.0866 1.8814 3.4208
Na -2.1855 3.7711 3.4208
U 0.0000 0.0000 0.0000
```



Record 5
# Na4Zr3US8

A relaxed Na4Zr3US8 crystal (PBE-GGA, the Alexandria database). Values from VASP.

Summary:
Fermi-level density of states: 0.4253 states/eV/atom
E_form (uncorrected): -1.4535 eV/atom
calculated density: 4.314 Mg/m³

Structure (Quantum ESPRESSO input):
```
&SYSTEM
  ibrav = 0, nat = 16, ntyp = 4
/
ATOMIC_SPECIES
S 32.06 S.upf
Zr 91.22 Zr.upf
Na 22.99 Na.upf
U 238.03 U.upf
CELL_PARAMETERS angstrom
-5.7488 -4.1355 2.3640
1.9959 -5.8002 -5.2929
5.2476 2.2062 4.8313
ATOMIC_POSITIONS angstrom
S -3.6890 -4.6513 0.4300
S 2.3806 -5.0947 2.6251
S 1.7785 -1.5300 1.6485
S -1.1293 -3.5760 2.7872
S 5.1838 -3.0782 1.4724
S -0.8858 -2.6348 -0.7227
S 2.6241 -4.1535 -0.8848
S -0.2838 -6.1995 0.2540
Zr 3.6218 -1.7970 -0.2308
Zr -1.8764 -4.9678 -1.4644
Zr 0.7474 -3.8647 0.9512
Na -2.8744 -2.0678 1.1820
Na 2.6238 1.1031 2.4157
Na 0.0000 0.0000 0.0000
Na -0.2506 -0.9646 3.5977
U 0.9980 -2.9001 -2.6465
```



Record 6
# Na2VS5

A relaxed Na2VS5 crystal (PBE-GGA, the Alexandria database). Values from VASP.

Summary:
Fermi-level density of states: 0.5652 states/eV/atom
E_form (uncorrected): -0.5127 eV/atom
calculated density: 2.178 Mg/m³

Structure (Quantum ESPRESSO input):
```
&SYSTEM
  ibrav = 0, nat = 8, ntyp = 3
/
ATOMIC_SPECIES
S 32.06 S.upf
V 50.94 V.upf
Na 22.99 Na.upf
CELL_PARAMETERS angstrom
-0.4004 1.9138 5.2797
-5.4430 -1.4354 0.1074
4.4413 -5.8408 -0.5478
ATOMIC_POSITIONS angstrom
S -4.0369 -0.8729 1.5827
S -1.4451 -0.1894 1.5315
S -1.6358 0.7219 4.0456
S -4.2275 0.0383 4.0967
S -2.0601 -2.9369 3.9102
V -1.5251 -4.9092 4.6658
Na 0.4404 -1.4046 3.5444
Na -2.0809 -3.0792 0.9584
```



Which value of Fermi-level density of states does entry 4 give?
0.7181 states/eV/atom



Copy entry 5 word for word.
# Na4Zr3US8

A relaxed Na4Zr3US8 crystal (PBE-GGA, the Alexandria database). Values from VASP.

Summary:
Fermi-level density of states: 0.4253 states/eV/atom
E_form (uncorrected): -1.4535 eV/atom
calculated density: 4.314 Mg/m³

Structure (Quantum ESPRESSO input):
```
&SYSTEM
  ibrav = 0, nat = 16, ntyp = 4
/
ATOMIC_SPECIES
S 32.06 S.upf
Zr 91.22 Zr.upf
Na 22.99 Na.upf
U 238.03 U.upf
CELL_PARAMETERS angstrom
-5.7488 -4.1355 2.3640
1.9959 -5.8002 -5.2929
5.2476 2.2062 4.8313
ATOMIC_POSITIONS angstrom
S -3.6890 -4.6513 0.4300
S 2.3806 -5.0947 2.6251
S 1.7785 -1.5300 1.6485
S -1.1293 -3.5760 2.7872
S 5.1838 -3.0782 1.4724
S -0.8858 -2.6348 -0.7227
S 2.6241 -4.1535 -0.8848
S -0.2838 -6.1995 0.2540
Zr 3.6218 -1.7970 -0.2308
Zr -1.8764 -4.9678 -1.4644
Zr 0.7474 -3.8647 0.9512
Na -2.8744 -2.0678 1.1820
Na 2.6238 1.1031 2.4157
Na 0.0000 0.0000 0.0000
Na -0.2506 -0.9646 3.5977
U 0.9980 -2.9001 -2.6465
```



What is the formula in the fifth record?
Na4Zr3US8